*1*
# CuAg8Pd2 | Alexandria via LeMat-Bulk | GGA-PBE | relaxed
# Crystal system: monoclinic
# Fermi-level density of states in states/eV per cell: 5.96
data_CuAg8Pd2
_cell_length_a 12.273
_cell_length_b 7.015
_cell_length_c 4.960
_cell_angle_alpha 90.00
_cell_angle_beta 104.94
_cell_angle_gamma 90.00
_space_group_name_H-M_alt 'C 1 2/m 1'
_space_group_IT_number 12
loop_
_space_group_symop_operation_xyz
'x,y,z'
'-x,-y,-z'
'-x,y,-z'
'x,-y,z'
'x+1/2,y+1/2,z'
'-x+1/2,-y+1/2,-z'
'-x+1/2,y+1/2,-z'
'x+1/2,-y+1/2,z'
loop_
_atom_site_label
_atom_site_type_symbol
_atom_site_fract_x
_atom_site_fract_y
_atom_site_fract_z
Cu1 Cu 0.000 0.000 0.000
Ag1 Ag 0.066 0.304 0.791
Ag2 Ag 0.150 0.500 0.346
Ag3 Ag 0.224 0.000 0.073
Pd1 Pd 0.114 0.000 0.499



*2*
# CuAg8Pd2 | Alexandria via LeMat-Bulk | GGA-PBE | relaxed
# Crystal system: monoclinic
# Fermi-level density of states in states/eV per cell: 5.33
data_CuAg8Pd2
_cell_length_a 14.680
_cell_length_b 5.365
_cell_length_c 5.238
_cell_angle_alpha 90.00
_cell_angle_beta 106.49
_cell_angle_gamma 90.00
_space_group_name_H-M_alt 'C 1 2/m 1'
_space_group_IT_number 12
loop_
_space_group_symop_operation_xyz
'x,y,z'
'-x,-y,-z'
'-x,y,-z'
'x,-y,z'
'x+1/2,y+1/2,z'
'-x+1/2,-y+1/2,-z'
'-x+1/2,y+1/2,-z'
'x+1/2,-y+1/2,z'
loop_
_atom_site_label
_atom_site_type_symbol
_atom_site_fract_x
_atom_site_fract_y
_atom_site_fract_z
Cu1 Cu 0.000 0.000 0.000
Ag1 Ag 0.086 0.249 0.440
Ag2 Ag 0.086 0.500 0.924
Ag3 Ag 0.195 0.000 0.080
Pd1 Pd 0.243 0.500 0.368



Computed stability ranking, most favorable first: *2*, *1*



*1*
# Cu3AgPd | Alexandria via LeMat-Bulk | GGA-PBE | relaxed
# Crystal system: triclinic
# Fermi-level density of states in states/eV per cell: 1.42
data_Cu3AgPd
_cell_length_a 2.702
_cell_length_b 4.156
_cell_length_c 6.589
_cell_angle_alpha 107.78
_cell_angle_beta 94.97
_cell_angle_gamma 90.82
_space_group_name_H-M_alt 'P 1'
_space_group_IT_number 1
loop_
_space_group_symop_operation_xyz
'x,y,z'
loop_
_atom_site_label
_atom_site_type_symbol
_atom_site_fract_x
_atom_site_fract_y
_atom_site_fract_z
Cu1 Cu 0.000 0.000 0.000
Cu2 Cu 0.015 0.799 0.596
Cu3 Cu 0.108 0.603 0.210
Ag1 Ag 0.486 0.407 0.812
Pd1 Pd 0.608 0.185 0.375



*2*
# Cu3AgPd | Alexandria via LeMat-Bulk | GGA-PBE | relaxed
# Crystal system: cubic
# Fermi-level density of states in states/eV per cell: 1.83
data_Cu3AgPd
_cell_length_a 4.657
_cell_length_b 4.657
_cell_length_c 4.657
_cell_angle_alpha 90.00
_cell_angle_beta 90.00
_cell_angle_gamma 90.00
_space_group_name_H-M_alt 'P m -3 m'
_space_group_IT_number 221
_space_group_name_Hall '-P 4 2 3'
loop_
_atom_site_label
_atom_site_type_symbol
_atom_site_fract_x
_atom_site_fract_y
_atom_site_fract_z
Cu1 Cu 0.000 0.000 0.500
Ag1 Ag 0.500 0.500 0.500
Pd1 Pd 0.000 0.000 0.000



Computed stability ranking, most favorable first: *1*, *2*



*1*
# Cu8AgPd6 | Alexandria via LeMat-Bulk | GGA-PBE | relaxed
# Crystal system: trigonal
# Fermi-level density of states in states/eV per cell: 8.69
data_Cu8AgPd6
_cell_length_a 9.8223
_cell_length_b 9.8223
_cell_length_c 2.7055
_cell_angle_alpha 90.00
_cell_angle_beta 90.00
_cell_angle_gamma 120.00
_space_group_name_H-M_alt 'P -3'
_space_group_IT_number 147
loop_
_space_group_symop_operation_xyz
'x,y,z'
'-x,-y,-z'
'-y,x-y,z'
'y,-x+y,-z'
'-x+y,-x,z'
'x-y,x,-z'
loop_
_atom_site_label
_atom_site_type_symbol
_atom_site_fract_x
_atom_site_fract_y
_atom_site_fract_z
Cu1 Cu 0.0723 0.7916 0.3039
Cu2 Cu 0.3333 0.6667 0.7260
Ag1 Ag 0.0000 0.0000 0.0000
Pd1 Pd 0.0983 0.4654 0.2278



*2*
# Cu8AgPd6 | Alexandria via LeMat-Bulk | GGA-PBE | relaxed
# Crystal system: triclinic
# Fermi-level density of states in states/eV per cell: 4.56
data_Cu8AgPd6
_cell_length_a 6.241
_cell_length_b 6.294
_cell_length_c 6.317
_cell_angle_alpha 71.01
_cell_angle_beta 71.22
_cell_angle_gamma 71.29
_space_group_name_H-M_alt 'P -1'
_space_group_IT_number 2
loop_
_space_group_symop_operation_xyz
'x,y,z'
'-x,-y,-z'
loop_
_atom_site_label
_atom_site_type_symbol
_atom_site_fract_x
_atom_site_fract_y
_atom_site_fract_z
Cu1 Cu 0.054 0.354 0.401
Cu2 Cu 0.147 0.099 0.944
Cu3 Cu 0.241 0.745 0.243
Cu4 Cu 0.405 0.554 0.851
Ag1 Ag 0.000 0.500 0.000
Pd1 Pd 0.171 0.923 0.623
Pd2 Pd 0.378 0.328 0.578
Pd3 Pd 0.421 0.122 0.171



Computed stability ranking, most favorable first: *2*, *1*